Record 1
Here is a geometry-optimized Cr2SiRu structure from Alexandria via LeMat-Bulk. Energies are from GGA-PBE.

The structure in POSCAR format:
```
Cr2SiRu
1.0
2.9558 0.0000 0.0000
0.0000 4.1182 0.0000
0.0000 0.0000 8.0825
Cr Si Ru
4 2 2
Direct
0.0000 0.0000 0.0000 Cr
0.0000 0.5000 0.2614 Cr
0.5000 0.0000 0.7614 Cr
0.5000 0.5000 0.5000 Cr
0.0000 0.0000 0.5137 Si
0.5000 0.5000 0.0137 Si
0.0000 0.5000 0.7645 Ru
0.5000 0.0000 0.2645 Ru
```

Formation energy from raw total energies ... -170 meV/atom
DFT total energy ... -8.656 eV/atom
Space group ... Imm2
Crystal system ... orthorhombic

***

Record 2
Here is a geometry-optimized PmPr3Ga2 structure from Alexandria via LeMat-Bulk. Energies are from GGA-PBE.

The structure in POSCAR format:
```
PmPr3Ga2
1.0
5.2193 0.0000 0.0000
0.0000 9.7817 0.0000
0.0000 0.0000 6.7608
Pm Pr Ga
2 6 4
Direct
0.0000 0.0569 0.0000 Pm
0.0000 0.9431 0.5000 Pm
0.0000 0.3310 0.6738 Pr
0.0000 0.6690 0.1738 Pr
0.5000 0.1656 0.3045 Pr
0.5000 0.4457 0.9775 Pr
0.5000 0.5543 0.4775 Pr
0.5000 0.8344 0.8045 Pr
0.0000 0.3475 0.2008 Ga
0.0000 0.6525 0.7008 Ga
0.5000 0.1510 0.7795 Ga
0.5000 0.8490 0.2795 Ga
```

Energy relative to the elements ... -224 kJ/mol of formula units
Distance to the lowest polymorph of the same formula ... 0 meV/atom
DFT total energy ... -4.577 eV/atom
Space group ... Pmc2_1
Crystal system ... orthorhombic

***

Record 3
Here is a geometry-optimized TlCr2Ir structure from Alexandria via LeMat-Bulk. Energies are from GGA-PBE.

The structure in POSCAR format:
```
TlCr2Ir
1.0
2.8014 0.0000 0.0000
0.0000 4.0176 0.0000
0.0000 0.0000 5.5868
Tl Cr Ir
1 2 1
Direct
0.0000 0.0000 0.0000 Tl
0.5000 0.5000 0.3136 Cr
0.5000 0.5000 0.6864 Cr
0.0000 0.0000 0.5000 Ir
```

Energy relative to the elements ... 169 kJ/mol of formula units
Distance to the lowest polymorph of the same formula ... 63 meV/atom
DFT total energy ... -7.182 eV/atom
Space group ... Pmmm
Crystal system ... orthorhombic

***

Record 4
Here is a geometry-optimized Pm2NdTe structure from Alexandria via LeMat-Bulk. Energies are from GGA-PBE.

The structure in POSCAR format:
```
Pm2NdTe
1.0
4.9004 0.0000 0.0000
0.0000 4.9004 0.0000
0.0000 0.0000 4.9033
Pm Nd Te
2 1 1
Direct
0.0000 0.5000 0.0000 Pm
0.5000 0.0000 0.0000 Pm
0.0000 0.0000 0.5000 Nd
0.5000 0.5000 0.5000 Te
```

Distance to the lowest polymorph of the same formula ... 164 meV/atom
Formation energy from raw total energies ... -527 meV/atom
DFT total energy ... -4.879 eV/atom
Space group ... P4/mmm
Crystal system ... tetragonal

***

Record 5
Here is a geometry-optimized AgRu2Pb structure from Alexandria via LeMat-Bulk. Energies are from GGA-PBE.

The structure in POSCAR format:
```
AgRu2Pb
1.0
2.9413 0.0000 0.0000
0.0000 2.9384 0.0000
-1.4274 0.0000 8.6117
Ag Ru Pb
1 2 1
Direct
0.0000 0.0000 0.0000 Ag
0.2028 0.0000 0.4173 Ru
0.6161 0.5000 0.2385 Ru
0.8261 0.5000 0.6742 Pb
```

Energy relative to the elements ... 147 kJ/mol of formula units
DFT total energy ... -5.898 eV/atom
Space group ... Pm
Crystal system ... monoclinic

***

Record 6
Here is a geometry-optimized HfTa2Rh2 structure from Alexandria via LeMat-Bulk. Energies are from GGA-PBE.

The structure in POSCAR format:
```
HfTa2Rh2
1.0
3.9669 0.0000 0.0000
0.0000 3.9669 0.0000
0.0000 0.0000 12.1313
Hf Ta Rh
2 4 4
Direct
0.0000 0.0000 0.0000 Hf
0.5000 0.5000 0.5000 Hf
0.0000 0.0000 0.3858 Ta
0.0000 0.0000 0.6142 Ta
0.5000 0.5000 0.1142 Ta
0.5000 0.5000 0.8858 Ta
0.0000 0.5000 0.2500 Rh
0.0000 0.5000 0.7500 Rh
0.5000 0.0000 0.2500 Rh
0.5000 0.0000 0.7500 Rh
```

Energy relative to the elements ... 6 kJ/mol of formula units
Distance to the lowest polymorph of the same formula ... 355 meV/atom
DFT total energy ... -9.660 eV/atom
Space group ... I4/mmm
Crystal system ... tetragonal

***

Record 7
Here is a geometry-optimized Ce4Al5Ag2 structure from Alexandria via LeMat-Bulk. Energies are from GGA-PBE.

The structure in POSCAR format:
```
Ce4Al5Ag2
1.0
7.4617 0.0000 0.0000
0.0000 3.1047 0.0000
-0.5505 0.0000 10.1580
Ce Al Ag
4 5 2
Direct
0.1363 0.0000 0.4087 Ce
0.3201 0.0000 0.9565 Ce
0.6799 0.0000 0.0435 Ce
0.8637 0.0000 0.5913 Ce
0.2298 0.5000 0.6788 Al
0.4171 0.5000 0.2281 Al
0.5000 0.5000 0.5000 Al
0.5829 0.5000 0.7719 Al
0.7702 0.5000 0.3212 Al
0.0457 0.5000 0.1397 Ag
0.9543 0.5000 0.8603 Ag
```

Energy relative to the elements ... -281 kJ/mol of formula units
DFT total energy ... -4.643 eV/atom
Space group ... P2/m
Crystal system ... monoclinic

***

Record 8
Here is a geometry-optimized NaHgS structure from Alexandria via LeMat-Bulk. Energies are from GGA-PBE.

The structure in POSCAR format:
```
NaHgS
1.0
4.2051 0.0000 0.0000
0.0000 3.8068 0.0000
-2.0728 0.0000 10.2764
Na Hg S
2 2 2
Direct
0.1885 0.2500 0.3746 Na
0.8115 0.7500 0.6254 Na
0.4468 0.2500 0.8946 Hg
0.5532 0.7500 0.1054 Hg
0.3280 0.2500 0.6590 S
0.6720 0.7500 0.3410 S
```

Distance to the lowest polymorph of the same formula ... 0 meV/atom
Formation energy from raw total energies ... -503 meV/atom
DFT total energy ... -2.419 eV/atom
Space group ... P2_1/m
Crystal system ... monoclinic

***

Record 9
Here is a geometry-optimized Hg12P3I5 structure from Alexandria via LeMat-Bulk. Energies are from GGA-PBE.

The structure in POSCAR format:
```
Hg12P3I5
1.0
-9.1487 9.1487 9.1487
9.1487 -9.1487 9.1487
9.1487 9.1487 -9.1487
Hg P I
48 12 20
Direct
0.0336 0.7223 0.6487 Hg
0.0336 0.8113 0.3849 Hg
0.0736 0.2223 0.1887 Hg
0.0736 0.3513 0.8849 Hg
0.1151 0.6887 0.4664 Hg
0.1151 0.9264 0.6487 Hg
0.1487 0.2223 0.5336 Hg
0.1487 0.4264 0.6151 Hg
0.1887 0.0736 0.2223 Hg
0.1887 0.6151 0.9664 Hg
0.2223 0.1887 0.0736 Hg
0.2223 0.5336 0.1487 Hg
0.2777 0.3513 0.9664 Hg
0.2777 0.4264 0.3113 Hg
0.3113 0.2777 0.4264 Hg
0.3113 0.5336 0.8849 Hg
0.3513 0.8849 0.0736 Hg
0.3513 0.9664 0.2777 Hg
0.3849 0.0336 0.8113 Hg
0.3849 0.8513 0.5736 Hg
0.4264 0.3113 0.2777 Hg
0.4264 0.6151 0.1487 Hg
0.4664 0.1151 0.6887 Hg
0.4664 0.8513 0.7777 Hg
0.5336 0.1487 0.2223 Hg
0.5336 0.8849 0.3113 Hg
0.5736 0.3849 0.8513 Hg
0.5736 0.6887 0.7223 Hg
0.6151 0.1487 0.4264 Hg
0.6151 0.9664 0.1887 Hg
0.6487 0.0336 0.7223 Hg
0.6487 0.1151 0.9264 Hg
0.6887 0.4664 0.1151 Hg
0.6887 0.7223 0.5736 Hg
0.7223 0.5736 0.6887 Hg
0.7223 0.6487 0.0336 Hg
0.7777 0.4664 0.8513 Hg
0.7777 0.8113 0.9264 Hg
0.8113 0.3849 0.0336 Hg
0.8113 0.9264 0.7777 Hg
0.8513 0.5736 0.3849 Hg
0.8513 0.7777 0.4664 Hg
0.8849 0.0736 0.3513 Hg
0.8849 0.3113 0.5336 Hg
0.9264 0.6487 0.1151 Hg
0.9264 0.7777 0.8113 Hg
0.9664 0.1887 0.6151 Hg
0.9664 0.2777 0.3513 Hg
0.1250 0.2500 0.3750 P
0.1250 0.3750 0.7500 P
0.2500 0.3750 0.1250 P
0.2500 0.8750 0.6250 P
0.3750 0.1250 0.2500 P
0.3750 0.7500 0.1250 P
0.6250 0.2500 0.8750 P
0.6250 0.8750 0.7500 P
0.7500 0.1250 0.3750 P
0.7500 0.6250 0.8750 P
0.8750 0.6250 0.2500 P
0.8750 0.7500 0.6250 P
0.0000 0.0000 0.0000 I
0.0000 0.0000 0.5000 I
0.0000 0.5000 0.0000 I
0.0000 0.5000 0.5000 I
0.1250 0.7500 0.8750 I
0.1250 0.8750 0.2500 I
0.2500 0.1250 0.8750 I
0.2500 0.6250 0.3750 I
0.3750 0.2500 0.6250 I
0.3750 0.6250 0.7500 I
0.5000 0.0000 0.0000 I
0.5000 0.0000 0.5000 I
0.5000 0.5000 0.0000 I
0.5000 0.5000 0.5000 I
0.6250 0.3750 0.2500 I
0.6250 0.7500 0.3750 I
0.7500 0.3750 0.6250 I
0.7500 0.8750 0.1250 I
0.8750 0.1250 0.7500 I
0.8750 0.2500 0.1250 I
```

Formation energy from raw total energies ... 179 meV/atom
DFT total energy ... -1.201 eV/atom
Space group ... Ia-3d
Crystal system ... cubic

***

Record 10
Here is a geometry-optimized MoIr4Pb structure from Alexandria via LeMat-Bulk. Energies are from GGA-PBE.

The structure in POSCAR format:
```
MoIr4Pb
1.0
0.0000 3.7153 3.7153
3.7153 0.0000 3.7153
3.7153 3.7153 0.0000
Mo Ir Pb
1 4 1
Direct
0.0000 0.0000 0.0000 Mo
0.3747 0.3747 0.3747 Ir
0.3747 0.3747 0.8759 Ir
0.3747 0.8759 0.3747 Ir
0.8759 0.3747 0.3747 Ir
0.7500 0.7500 0.7500 Pb
```

Energy relative to the elements ... 300 kJ/mol of formula units
DFT total energy ... -7.813 eV/atom
Space group ... F-43m
Crystal system ... cubic

***

Record 11
Here is a geometry-optimized LaW structure from Alexandria via LeMat-Bulk. Energies are from GGA-PBE.

The structure in POSCAR format:
```
LaW
1.0
12.9435 0.0000 0.0000
0.0000 12.9435 0.0000
0.0000 0.0000 3.0847
La W
8 8
Direct
0.0369 0.7428 0.0000 La
0.2428 0.4631 0.5000 La
0.2572 0.0369 0.0000 La
0.4631 0.7572 0.5000 La
0.5369 0.2428 0.5000 La
0.7428 0.9631 0.0000 La
0.7572 0.5369 0.5000 La
0.9631 0.2572 0.0000 La
0.1712 0.2527 0.0000 W
0.2473 0.6712 0.5000 W
0.2527 0.8288 0.0000 W
0.3288 0.2473 0.5000 W
0.6712 0.7527 0.5000 W
0.7473 0.1712 0.0000 W
0.7527 0.3288 0.5000 W
0.8288 0.7473 0.0000 W
```

Energy relative to the elements ... 211 kJ/mol of formula units
Distance to the lowest polymorph of the same formula ... 751 meV/atom
DFT total energy ... -7.845 eV/atom
Space group ... I4/m
Crystal system ... tetragonal

***

Record 12
Here is a geometry-optimized LiMnZn structure from Alexandria via LeMat-Bulk. Energies are from GGA-PBE.

The structure in POSCAR format:
```
LiMnZn
1.0
5.9926 0.0000 0.0000
0.0000 5.9926 0.0000
0.0000 0.0000 5.9926
Li Mn Zn
4 4 4
Direct
0.0000 0.0000 0.0000 Li
0.0000 0.5000 0.5000 Li
0.5000 0.0000 0.5000 Li
0.5000 0.5000 0.0000 Li
0.0000 0.0000 0.5000 Mn
0.0000 0.5000 0.0000 Mn
0.5000 0.0000 0.0000 Mn
0.5000 0.5000 0.5000 Mn
0.2500 0.2500 0.7500 Zn
0.2500 0.7500 0.2500 Zn
0.7500 0.2500 0.2500 Zn
0.7500 0.7500 0.7500 Zn
```

Energy relative to the elements ... 125 kJ/mol of formula units
Distance to the lowest polymorph of the same formula ... 334 meV/atom
DFT total energy ... -3.688 eV/atom
Space group ... F-43m
Crystal system ... cubic